# BaMnOsO6 (GGA+U, relaxed)
data_BaMnOsO6
_cell_length_a 5.223
_cell_length_b 5.332
_cell_length_c 5.709
_cell_angle_alpha 89.86
_cell_angle_beta 88.06
_cell_angle_gamma 61.71
_symmetry_space_group_name_H-M 'P 1'
_symmetry_Int_Tables_number 1
loop_
_symmetry_equiv_pos_as_xyz
'x,y,z'
loop_
_atom_site_label
_atom_site_fract_x
_atom_site_fract_y
_atom_site_fract_z
Ba1 0.000 0.000 0.000
Mn1 0.330 0.318 0.499
Os1 0.663 0.656 0.501
O1 0.391 0.957 0.321
O2 0.404 0.588 0.697
O3 0.614 0.367 0.312
O4 0.630 0.946 0.701
O5 0.969 0.598 0.298
O6 0.990 0.367 0.680
# Calculated total energy = -64.8 eV/cell